Computed, not measured: CsRbCu2Te2 after structural relaxation at the PBE level of DFT.

Results
**Total energy**: -38.3 eV/cell
**V**: 407 Å³ per cell

Geometry as extended XYZ:
```
12
Lattice="14.156 0.000 0.000 0.000 4.398 0.000 -1.563 0.000 6.537" Properties=species:S:1:pos:R:3 pbc="T T T"
Cs 0.000 0.000 0.000
Cs 7.078 2.199 0.000
Rb 3.661 2.199 2.572
Rb 10.739 0.000 2.572
Cu 0.712 0.000 4.012
Cu 1.396 2.199 5.101
Cu 7.790 2.199 4.012
Cu 8.474 0.000 5.101
Te -0.320 2.199 3.088
Te 2.414 0.000 6.039
Te 6.758 0.000 3.088
Te 9.492 2.199 6.039
```